No. 1
## AcDyCoNi (PBE)

Data for crystalline AcDyCoNi at its relaxed geometry.

Space group ... F-43m
Electronic total energy ... -5.452 eV/atom
N(E_F) ... 2.9 states/eV/cell
ΔH_f (0 K) ... -0.052 eV per atom

Structure (POSCAR):
```
AcDyCoNi
1.0
0.0000 3.5050 3.5050
3.5050 0.0000 3.5050
3.5050 3.5050 0.0000
Ac Dy Co Ni
1 1 1 1
Cartesian
0.0000 0.0000 0.0000
3.5050 3.5050 3.5050
5.2574 5.2574 5.2574
1.7525 1.7525 1.7525
```

No. 2
## BaCrRe2 (PBE)

Data for crystalline BaCrRe2 at its relaxed geometry.

Space group ... R-3m
Electronic total energy ... -8.073 eV/atom
N(E_F) ... 3.6 states/eV/cell
ΔH_f (0 K) ... 1.038 eV per atom
Polymorph energy (0 for the lowest one) ... 250 meV per atom

Structure (POSCAR):
```
BaCrRe2
1.0
1.5038 0.8682 9.6374
-1.5038 0.8682 9.6374
0.0000 -1.7365 9.6374
Ba Cr Re
1 1 2
Cartesian
0.0000 0.0000 0.0000
0.0000 0.0000 14.4561
0.0000 0.0000 6.6069
0.0000 0.0000 22.3052
```

- ΔH_f (0 K) of number 1 (AcDyCoNi)?
  -0.052 eV per atom

- The highest ΔH_f (0 K) belongs to which entry?
  BaCrRe2

- Look up the ΔH_f (0 K) of the first one.
  -0.052 eV per atom

- electronic total energy of number 2 (BaCrRe2)?
  -8.073 eV/atom